{
  "formula": "CoRhN2O",
  "functional": "GGA+U",
  "state": "optimized geometry",
  "lattice": [[3.6005, 0.0000, 0.0000], [0.0000, 3.6005, 0.0000], [0.0000, 0.0000, 3.7777]],
  "species": ["Co", "N", "N", "Rh", "O"],
  "fractional_positions": [[0.0000, 0.0000, 0.0000], [0.5000, 0.0000, 0.0000], [0.0000, 0.5000, 0.0000], [0.5000, 0.5000, 0.5000], [0.0000, 0.0000, 0.5000]],
  "m_tot_mub_per_cell": 1.0,
  "energy_ev_per_cell": -28.14
}